# Ba2AlPd2O6

A relaxed Ba2AlPd2O6 crystal (PBE, Alexandria).

Cell: 5.9492 5.9492 6.5148 Å, 62.83 62.83 60.00°
With the nearest neighbours (Å) after each atom.
Fractional coordinates of all 11 atoms:
O (0.7820, 0.7820, 0.2295)  1 Al 1.93, 1 Pd 1.98
O (0.7820, 0.2065, 0.2295)  1 Al 1.93, 1 Pd 1.98
O (0.2180, 0.2180, 0.7705)  1 Al 1.93, 1 Pd 1.98
O (0.7935, 0.2180, 0.7705)  1 Al 1.93, 1 Pd 1.98
O (0.2065, 0.7820, 0.2295)  1 Al 1.93, 1 Pd 1.98
O (0.2180, 0.7935, 0.7705)  1 Al 1.93, 1 Pd 1.98
Pd (0.4079, 0.4079, 0.7764)  3 O 1.98
Pd (0.5921, 0.5921, 0.2236)  3 O 1.98
Al (0.0000, 0.0000, 0.0000)  6 O 1.93
Ba (0.2187, 0.2187, 0.3439)  9 O 2.78-3.05
Ba (0.7813, 0.7813, 0.6561)  9 O 2.78-3.05

Computed properties:
Uncorrected energy, eV per atom: -5.936
Space-group type: R-3m
Crystal system: trigonal
DOS at the Fermi energy, states/eV/f.u.: 2.74
Total moment, μB/atom: 0.0000